A plane-wave DFT calculation with PBE was carried out for a relaxed TaBeMo2 crystal.

The calculation puts the total energy at -146.57 eV/cell.

The structure belongs to space group F-43m (No. 216); the cell edges are 6.215, 6.215 and 6.215 Å and the angles 90.00°, 90.00° and 90.00°. The distinct sites, in fractional coordinates, are Ta at (0.000, 0.000, 0.000), Be at (0.250, 0.250, 0.750), Mo at (0.000, 0.000, 0.500) and Mo at (0.250, 0.250, 0.250).